[1]
LiMg3Al: relaxed, PBE.

a b c (Å): 5.851 5.851 14.376
angles (deg): 86.40 86.40 58.59
Fractional coordinates of all 20 atoms:
Li1 0.000 0.500 0.500
Li2 0.500 0.000 0.000
Li3 0.684 0.316 0.250
Li4 0.316 0.684 0.750
Mg1 0.583 0.072 0.791
Mg2 0.928 0.417 0.709
Mg3 0.417 0.928 0.209
Mg4 0.072 0.583 0.291
Mg5 0.442 0.920 0.592
Mg6 0.080 0.558 0.908
Mg7 0.558 0.080 0.408
Mg8 0.920 0.442 0.092
Mg9 0.068 0.061 0.895
Mg10 0.939 0.932 0.605
Mg11 0.061 0.068 0.395
Mg12 0.932 0.939 0.105
Al1 0.580 0.549 0.912
Al2 0.451 0.420 0.588
Al3 0.420 0.451 0.088
Al4 0.549 0.580 0.412

## Properties
For the energy above the most stable polymorph in this dataset, the calculation gives 0.281 eV per formula unit. The space-group type is C2/c, No. 15.

[2]
LiMg14Al: relaxed, PBE.

a b c (Å): 6.322 6.322 10.239
angles (deg): 90.00 90.00 120.00
Fractional coordinates of all 16 atoms:
Li1 0.000 0.000 0.500
Mg1 0.998 0.499 0.000
Mg2 0.002 0.501 0.500
Mg3 0.501 0.002 0.000
Mg4 0.499 0.998 0.500
Mg5 0.501 0.499 0.000
Mg6 0.499 0.501 0.500
Mg7 0.165 0.835 0.247
Mg8 0.165 0.835 0.753
Mg9 0.165 0.330 0.247
Mg10 0.165 0.330 0.753
Mg11 0.670 0.835 0.247
Mg12 0.670 0.835 0.753
Mg13 0.667 0.333 0.252
Mg14 0.667 0.333 0.748
Al1 0.000 0.000 0.000

## Properties
For the energy above the most stable polymorph in this dataset, the calculation gives 0.050 eV per formula unit. The space-group type is P-6m2, No. 187.

[3]
Li4Mg3Al2: relaxed, PBE.

a b c (Å): 4.636 5.621 8.069
angles (deg): 60.34 74.20 65.38
Fractional coordinates of all 9 atoms:
Li1 0.316 0.359 0.008
Li2 0.873 0.589 0.648
Li3 0.127 0.411 0.352
Li4 0.684 0.641 0.992
Mg1 0.543 0.216 0.683
Mg2 0.000 0.000 0.000
Mg3 0.457 0.784 0.317
Al1 0.780 0.129 0.333
Al2 0.220 0.871 0.667

## Properties
The space-group type is P-1, No. 2.

[4]
LiMgAl: relaxed, PBE.

a b c (Å): 3.032 3.032 7.175
angles (deg): 90.00 90.00 120.00
Fractional coordinates of all 3 atoms:
Al1 0.000 0.000 0.008
Li1 0.333 0.667 0.318
Mg1 0.667 0.333 0.674

## Properties
For the energy above the most stable polymorph in this dataset, the calculation gives 0.123 eV per formula unit. The space-group type is P3m1, No. 156.

[5]
LiMgAl2: relaxed, PBE.

a b c (Å): 4.072 4.100 4.293
angles (deg): 90.00 90.00 90.00
Fractional coordinates of all 4 atoms:
Mg1 0.000 0.500 0.500
Al1 0.000 0.000 0.000
Al2 0.500 0.500 0.000
Li1 0.500 0.000 0.500

## Properties
The space-group type is Pmmm, No. 47.

[6]
Li3MgAl: relaxed, PBE.

a b c (Å): 4.918 4.918 4.918
angles (deg): 90.00 90.00 90.00
Fractional coordinates of all 5 atoms:
Mg1 0.000 0.000 0.000
Al1 0.500 0.500 0.500
Li1 0.000 0.500 0.000
Li2 0.000 0.000 0.500
Li3 0.500 0.000 0.000

## Properties
For the energy above the most stable polymorph in this dataset, the calculation gives 2.939 eV per formula unit. The space-group type is Pm-3m, No. 221.

[7]
Li9Mg2Al: relaxed, PBE.

a b c (Å): 5.910 5.910 7.876
angles (deg): 77.91 77.91 59.26
Fractional coordinates of all 12 atoms:
Li1 0.263 0.263 0.941
Li2 0.737 0.737 0.059
Li3 0.500 0.500 0.500
Li4 0.600 0.600 0.815
Li5 0.696 0.108 0.726
Li6 0.108 0.696 0.726
Li7 0.400 0.400 0.185
Li8 0.892 0.304 0.274
Li9 0.304 0.892 0.274
Mg1 0.186 0.186 0.596
Mg2 0.814 0.814 0.404
Al1 0.000 0.000 0.000

## Properties
For the energy above the most stable polymorph in this dataset, the calculation gives 0.754 eV per formula unit. The space-group type is C2/m, No. 12.

[8]
LiMgAl: relaxed, PBE.

a b c (Å): 4.455 4.455 4.455
angles (deg): 60.00 60.00 60.00
Fractional coordinates of all 3 atoms:
Al1 0.500 0.500 0.500
Li1 0.750 0.750 0.750
Mg1 0.000 0.000 0.000

## Properties
For the energy above the most stable polymorph in this dataset, the calculation gives 0.845 eV per formula unit. The space-group type is F-43m, No. 216.

Number 1: ΔE_f 1.4 kJ per mole of atoms. Number 2: ΔE_f -0.2 kJ per mole of atoms. Number 3: ΔE_f -7.3 kJ per mole of atoms. Number 4: ΔE_f -1.3 kJ per mole of atoms. Number 5: ΔE_f -7.1 kJ per mole of atoms. Number 6: ΔE_f 53.6 kJ per mole of atoms. Number 7: ΔE_f 4.7 kJ per mole of atoms. Number 8: ΔE_f 21.9 kJ per mole of atoms.